Entry 1:
ZrFeGeIr | PBE | optimized geometry

Values from the calculation:
- Relative energy among the computed polymorphs: 216 meV per atom
- E_tot: -31.04 eV/cell
- Calculated density: 10.5 g/cm³

Unit cell a=4.511 b=4.511 c=4.511 alpha=60.00 beta=60.00 gamma=60.00
Element x y z (fractional)
1 Zr 0.000 0.000 0.000
2 Fe 0.500 0.500 0.500
3 Ge 0.250 0.250 0.250
4 Ir 0.750 0.750 0.750

Entry 2:
NdNbBi | PBE | optimized geometry

Values from the calculation:
- E_tot: -17.93 eV/cell
- Calculated density: 8.4 g/cm³

Unit cell a=4.999 b=4.999 c=4.999 alpha=60.00 beta=60.00 gamma=60.00
Element x y z (fractional)
1 Nd 0.000 0.000 0.000
2 Nb 0.500 0.500 0.500
3 Bi 0.750 0.750 0.750

Entry 3:
GaFeIr2 | PBE | optimized geometry

Values from the calculation:
- E_tot: -28.81 eV/cell
- Calculated density: 15.0 g/cm³

Unit cell a=4.306 b=4.306 c=4.306 alpha=60.00 beta=60.00 gamma=60.00
Element x y z (fractional)
1 Ga 0.000 0.000 0.000
2 Fe 0.750 0.750 0.750
3 Ir 0.250 0.250 0.250
4 Ir 0.500 0.500 0.500

Entry 4:
CdSnBi | PBE | optimized geometry

Values from the calculation:
- E_tot: -8.55 eV/cell
- Calculated density: 7.5 g/cm³

Unit cell a=5.167 b=5.167 c=5.167 alpha=60.00 beta=60.00 gamma=60.00
Element x y z (fractional)
1 Cd 0.000 0.000 0.000
2 Sn 0.750 0.750 0.750
3 Bi 0.500 0.500 0.500

Entry 5:
ScZnPd | PBE | optimized geometry

Values from the calculation:
- Energy of formation from the pure elements: -0.151 eV per atom
- E_tot: -13.22 eV/cell
- Calculated density: 5.8 g/cm³

Unit cell a=4.439 b=4.439 c=4.439 alpha=60.00 beta=60.00 gamma=60.00
Element x y z (fractional)
1 Sc 0.000 0.000 0.000
2 Zn 0.250 0.250 0.250
3 Pd 0.750 0.750 0.750

Entry 6:
ReGe2 | PBE | optimized geometry

Values from the calculation:
- Relative energy among the computed polymorphs: 1067 meV per atom
- E_tot: -36.87 eV/cell
- Calculated density: 3.5 g/cm³

Unit cell a=7.637 b=7.637 c=7.637 alpha=60.00 beta=60.00 gamma=60.00
Element x y z (fractional)
1 Re 0.125 0.125 0.125
2 Re 0.875 0.875 0.875
3 Ge 0.000 0.000 0.000
4 Ge 0.000 0.000 0.500
5 Ge 0.000 0.500 0.000
6 Ge 0.500 0.000 0.000